[1]
Crystalline Li4ZnAu3 at its relaxed geometry, computed with PBE-GGA.

Cell and atoms, written as POSCAR:
```
Li4ZnAu3
1.0
22.149 0.000 0.000
0.000 2.933 0.000
-0.744 0.000 4.138
Li Zn Au
8 2 6
direct
0.102 0.000 0.108
0.219 0.000 0.220
0.281 0.500 0.780
0.398 0.500 0.892
0.602 0.500 0.108
0.719 0.500 0.220
0.781 0.000 0.780
0.898 0.000 0.892
0.000 0.000 0.500
0.500 0.500 0.500
0.000 0.500 0.000
0.160 0.500 0.664
0.340 0.000 0.336
0.500 0.000 0.000
0.660 0.000 0.664
0.840 0.500 0.336
```

Its crystal system is monoclinic.

=====

[2]
Crystalline Li6Zn2Au at its relaxed geometry, computed with PBE-GGA.

Cell and atoms, written as POSCAR:
```
Li6Zn2Au
1.0
6.764 -3.782 0.000
6.764 3.782 0.000
-0.235 0.000 2.726
Li Zn Au
6 2 1
direct
0.168 0.501 0.984
0.171 0.829 0.000
0.499 0.832 0.016
0.501 0.168 0.984
0.829 0.171 0.000
0.832 0.499 0.016
0.165 0.165 0.505
0.835 0.835 0.495
0.500 0.500 0.500
```

Its crystal system is monoclinic.

=====

[3]
Crystalline Li3Zn2Au5 at its relaxed geometry, computed with PBE-GGA.

Cell and atoms, written as POSCAR:
```
Li3Zn2Au5
1.0
-5.397 6.565 2.732
5.397 -6.565 2.732
5.397 6.565 -2.732
Li Zn Au
6 4 10
direct
0.199 0.603 0.802
0.250 0.250 0.000
0.301 0.103 0.404
0.699 0.897 0.596
0.750 0.750 0.000
0.801 0.397 0.198
0.151 0.869 0.021
0.349 0.369 0.718
0.651 0.631 0.282
0.849 0.131 0.979
0.161 0.355 0.517
0.250 0.019 0.769
0.250 0.481 0.231
0.250 0.750 0.500
0.339 0.855 0.194
0.661 0.145 0.806
0.750 0.250 0.500
0.750 0.519 0.769
0.750 0.981 0.231
0.839 0.645 0.483
```

Its crystal system is orthorhombic.

=====

[4]
Crystalline LiZn7Au2 at its relaxed geometry, computed with PBE-GGA.

Cell and atoms, written as POSCAR:
```
LiZn7Au2
1.0
0.000 4.545 4.545
4.545 0.000 4.545
4.545 4.545 0.000
Li Zn Au
1 7 2
direct
0.000 0.000 0.000
0.242 0.242 0.758
0.242 0.758 0.242
0.242 0.758 0.758
0.500 0.500 0.500
0.758 0.242 0.242
0.758 0.242 0.758
0.758 0.758 0.242
0.250 0.250 0.250
0.750 0.750 0.750
```

Its crystal system is cubic.

=====

Number 1: energy of formation -0.39 eV per atom, size of the total moment 0.00 μB/atom. Number 2: energy of formation -0.22 eV per atom, size of the total moment 0.00 μB/atom. Number 3: energy of formation -0.21 eV per atom, size of the total moment 0.00 μB/atom. Number 4: energy of formation 0.42 eV per atom, size of the total moment 0.00 μB/atom.